First-principles (GGA+U) data for a geometry-optimized CrF3 structure, as listed in the Alexandria database.

Results
Raw total energy   -6.01 eV per atom
Density   3.602 g cm⁻³

Unit cell a=5.0741 b=5.0741 c=13.5208 alpha=90.00 beta=90.00 gamma=120.00
Space group R-3c (No. 167, hexagonal axes)
Symmetry-distinct sites (fractional):
Cr (0.0000, 0.0000, 0.0000) x6
F (0.0000, 0.3780, 0.2500) x18